12
Lattice="5.417 0.000 0.000 -2.709 4.692 0.000 0.000 0.000 8.106" Properties=species:S:1:pos:R:3 comment="TlCrTc2O8 GGA+U optimized geometry" energy_ev_per_cell=-86.8 spacegroup="P-3, No. 147" rho_g_cm3=4.68 pbc="T T T"
Tl 0.000 0.000 0.000
Cr 0.000 0.000 4.053
Tc 0.000 3.128 5.840
Tc 2.709 1.564 2.266
O -0.597 1.539 5.275
O -1.077 4.439 5.275
O 1.034 1.287 2.831
O 0.000 3.128 7.589
O 2.709 1.564 0.518
O 1.674 3.404 5.275
O 3.786 0.252 2.831
O 3.306 3.152 2.831